A plane-wave DFT calculation with GGA-PBE was carried out for a relaxed Na2Sb3Pb crystal.

- SG = Cmcm (63)
- formation energy without anion corrections (eV per atom) = -0.124

The structure in CIF format:
```
data_Na2Sb3Pb
_chemical_formula_sum 'Na4 Sb6 Pb2'
_cell_length_a 6.132
_cell_length_b 8.906
_cell_length_c 8.595
_cell_angle_alpha 121.21
_cell_angle_beta 90.00
_cell_angle_gamma 90.00
_space_group_name_H-M_alt 'P 1'
_space_group_IT_number 1
loop_
_space_group_symop_operation_xyz
'x,y,z'
loop_
_atom_site_label
_atom_site_fract_x
_atom_site_fract_y
_atom_site_fract_z
Na1 0.750 0.494 0.333
Na2 0.250 0.506 0.667
Na3 0.250 0.839 0.333
Na4 0.750 0.161 0.667
Sb1 0.000 0.163 0.327
Sb2 0.500 0.837 0.673
Sb3 0.000 0.500 0.000
Sb4 0.500 0.500 0.000
Sb5 0.000 0.837 0.673
Sb6 0.500 0.163 0.327
Pb1 0.250 0.176 0.000
Pb2 0.750 0.824 0.000
```

***

A plane-wave DFT calculation with GGA-PBE was carried out for a relaxed PaSBr crystal.

- energy relative to the lowest polymorph listed for this composition (meV per atom) = 172.1
- SG = Pnma (62)
- formation energy without anion corrections (eV per atom) = -1.315

The structure in CIF format:
```
data_PaSBr
_chemical_formula_sum 'Pa4 S4 Br4'
_cell_length_a 4.860
_cell_length_b 6.745
_cell_length_c 9.157
_cell_angle_alpha 90.00
_cell_angle_beta 90.00
_cell_angle_gamma 90.00
_space_group_name_H-M_alt 'P 1'
_space_group_IT_number 1
loop_
_space_group_symop_operation_xyz
'x,y,z'
loop_
_atom_site_label
_atom_site_fract_x
_atom_site_fract_y
_atom_site_fract_z
S1 0.750 0.845 0.147
S2 0.250 0.345 0.353
S3 0.250 0.155 0.853
S4 0.750 0.655 0.647
Pa1 0.750 0.547 0.356
Pa2 0.250 0.047 0.144
Pa3 0.250 0.453 0.644
Pa4 0.750 0.953 0.856
Br1 0.750 0.322 0.070
Br2 0.250 0.822 0.430
Br3 0.250 0.678 0.930
Br4 0.750 0.178 0.570
```

***

A plane-wave DFT calculation with GGA-PBE was carried out for a relaxed HoTm2Sc crystal.

- energy relative to the lowest polymorph listed for this composition (meV per atom) = 0.0
- SG = Cm (8)

The structure in CIF format:
```
data_HoTm2Sc
_chemical_formula_sum 'Ho2 Tm4 Sc2'
_cell_length_a 3.468
_cell_length_b 6.007
_cell_length_c 11.269
_cell_angle_alpha 84.91
_cell_angle_beta 98.85
_cell_angle_gamma 90.01
_space_group_name_H-M_alt 'P 1'
_space_group_IT_number 1
loop_
_space_group_symop_operation_xyz
'x,y,z'
loop_
_atom_site_label
_atom_site_fract_x
_atom_site_fract_y
_atom_site_fract_z
Ho1 0.544 0.939 0.573
Ho2 0.044 0.439 0.573
Tm1 0.172 0.730 0.830
Tm2 0.912 0.150 0.311
Tm3 0.412 0.650 0.311
Tm4 0.672 0.230 0.830
Sc1 0.792 0.857 0.069
Sc2 0.292 0.357 0.069
```

***

A plane-wave DFT calculation with GGA-PBE was carried out for a relaxed PIr2Se crystal.

- SG = F-43m (216)
- formation energy without anion corrections (eV per atom) = 0.760

The structure in CIF format:
```
data_PIr2Se
_chemical_formula_sum 'P1 Ir2 Se1'
_cell_length_a 4.452
_cell_length_b 4.452
_cell_length_c 4.452
_cell_angle_alpha 60.00
_cell_angle_beta 60.00
_cell_angle_gamma 60.00
_space_group_name_H-M_alt 'P 1'
_space_group_IT_number 1
loop_
_space_group_symop_operation_xyz
'x,y,z'
loop_
_atom_site_label
_atom_site_fract_x
_atom_site_fract_y
_atom_site_fract_z
P1 0.500 0.500 0.500
Ir1 0.000 0.000 0.000
Ir2 0.750 0.750 0.750
Se1 0.250 0.250 0.250
```

***

A plane-wave DFT calculation with GGA-PBE was carried out for a relaxed LaPSe2 crystal.

- SG = I4/mmm (139)
- formation energy without anion corrections (eV per atom) = -0.704

The structure in CIF format:
```
data_LaPSe2
_chemical_formula_sum 'La1 P1 Se2'
_cell_length_a 5.843
_cell_length_b 5.843
_cell_length_c 5.843
_cell_angle_alpha 137.51
_cell_angle_beta 137.51
_cell_angle_gamma 61.66
_space_group_name_H-M_alt 'P 1'
_space_group_IT_number 1
loop_
_space_group_symop_operation_xyz
'x,y,z'
loop_
_atom_site_label
_atom_site_fract_x
_atom_site_fract_y
_atom_site_fract_z
La1 0.500 0.500 0.000
P1 0.000 0.000 0.000
Se1 0.750 0.250 0.500
Se2 0.250 0.750 0.500
```

***

A plane-wave DFT calculation with GGA-PBE was carried out for a relaxed MgCuPt2 crystal.

- SG = Cm (8)

The structure in CIF format:
```
data_MgCuPt2
_chemical_formula_sum 'Mg1 Cu1 Pt2'
_cell_length_a 5.148
_cell_length_b 5.148
_cell_length_c 4.595
_cell_angle_alpha 68.29
_cell_angle_beta 68.29
_cell_angle_gamma 32.30
_space_group_name_H-M_alt 'P 1'
_space_group_IT_number 1
loop_
_space_group_symop_operation_xyz
'x,y,z'
loop_
_atom_site_label
_atom_site_fract_x
_atom_site_fract_y
_atom_site_fract_z
Cu1 0.506 0.506 0.418
Mg1 0.746 0.746 0.827
Pt1 0.998 0.998 0.922
Pt2 0.250 0.250 0.333
```

***

A plane-wave DFT calculation with GGA-PBE was carried out for a relaxed Tb2BeIr2 crystal.

- SG = C2/c (15)

The structure in CIF format:
```
data_Tb2BeIr2
_chemical_formula_sum 'Tb4 Be2 Ir4'
_cell_length_a 5.728
_cell_length_b 5.728
_cell_length_c 7.196
_cell_angle_alpha 78.97
_cell_angle_beta 78.97
_cell_angle_gamma 56.79
_space_group_name_H-M_alt 'P 1'
_space_group_IT_number 1
loop_
_space_group_symop_operation_xyz
'x,y,z'
loop_
_atom_site_label
_atom_site_fract_x
_atom_site_fract_y
_atom_site_fract_z
Tb1 0.488 0.218 0.147
Tb2 0.782 0.512 0.353
Tb3 0.512 0.782 0.853
Tb4 0.218 0.488 0.647
Be1 0.092 0.908 0.250
Be2 0.908 0.092 0.750
Ir1 0.740 0.004 0.511
Ir2 0.996 0.260 0.989
Ir3 0.260 0.996 0.489
Ir4 0.004 0.740 0.011
```

***

A plane-wave DFT calculation with GGA-PBE was carried out for a relaxed HfCr2SnOs crystal.

- SG = P4/mmm (123)

The structure in CIF format:
```
data_HfCr2SnOs
_chemical_formula_sum 'Hf1 Cr2 Sn1 Os1'
_cell_length_a 4.742
_cell_length_b 4.872
_cell_length_c 4.742
_cell_angle_alpha 90.00
_cell_angle_beta 90.00
_cell_angle_gamma 90.00
_space_group_name_H-M_alt 'P 1'
_space_group_IT_number 1
loop_
_space_group_symop_operation_xyz
'x,y,z'
loop_
_atom_site_label
_atom_site_fract_x
_atom_site_fract_y
_atom_site_fract_z
Hf1 0.500 0.500 0.500
Os1 0.000 0.500 0.000
Sn1 0.000 0.000 0.000
Cr1 0.000 0.000 0.500
Cr2 0.500 0.000 0.000
```

***

A plane-wave DFT calculation with GGA-PBE was carried out for a relaxed BiSb2Pt2 crystal.

- energy relative to the lowest polymorph listed for this composition (meV per atom) = 14.5
- SG = I4/mmm (139)
- formation energy without anion corrections (eV per atom) = -0.128

The structure in CIF format:
```
data_BiSb2Pt2
_chemical_formula_sum 'Bi1 Sb2 Pt2'
_cell_length_a 3.906
_cell_length_b 3.906
_cell_length_c 8.511
_cell_angle_alpha 76.73
_cell_angle_beta 76.73
_cell_angle_gamma 90.00
_space_group_name_H-M_alt 'P 1'
_space_group_IT_number 1
loop_
_space_group_symop_operation_xyz
'x,y,z'
loop_
_atom_site_label
_atom_site_fract_x
_atom_site_fract_y
_atom_site_fract_z
Sb1 0.370 0.370 0.260
Sb2 0.630 0.630 0.740
Bi1 0.000 0.000 0.000
Pt1 0.750 0.250 0.500
Pt2 0.250 0.750 0.500
```

***

A plane-wave DFT calculation with GGA-PBE was carried out for a relaxed Te2PtRh crystal.

- energy relative to the lowest polymorph listed for this composition (meV per atom) = 122.7
- SG = P4/mmm (123)
- formation energy without anion corrections (eV per atom) = -0.132

The structure in CIF format:
```
data_Te2PtRh
_chemical_formula_sum 'Te2 Pt1 Rh1'
_cell_length_a 3.921
_cell_length_b 3.921
_cell_length_c 5.512
_cell_angle_alpha 90.00
_cell_angle_beta 90.00
_cell_angle_gamma 90.00
_space_group_name_H-M_alt 'P 1'
_space_group_IT_number 1
loop_
_space_group_symop_operation_xyz
'x,y,z'
loop_
_atom_site_label
_atom_site_fract_x
_atom_site_fract_y
_atom_site_fract_z
Te1 0.000 0.000 0.000
Te2 0.500 0.500 0.500
Pt1 0.500 0.500 0.000
Rh1 0.000 0.000 0.500
```

***

A plane-wave DFT calculation with GGA-PBE was carried out for a relaxed Te2HRuN crystal.

- energy relative to the lowest polymorph listed for this composition (meV per atom) = 0.0
- SG = P4/mmm (123)

The structure in CIF format:
```
data_Te2HRuN
_chemical_formula_sum 'Te2 H1 Ru1 N1'
_cell_length_a 5.442
_cell_length_b 5.442
_cell_length_c 3.614
_cell_angle_alpha 90.00
_cell_angle_beta 90.00
_cell_angle_gamma 90.00
_space_group_name_H-M_alt 'P 1'
_space_group_IT_number 1
loop_
_space_group_symop_operation_xyz
'x,y,z'
loop_
_atom_site_label
_atom_site_fract_x
_atom_site_fract_y
_atom_site_fract_z
Ru1 0.000 0.000 0.000
Te1 0.000 0.500 0.000
Te2 0.500 0.000 0.000
H1 0.500 0.500 0.500
N1 0.000 0.000 0.500
```

***

A plane-wave DFT calculation with GGA-PBE was carried out for a relaxed Ta2FeIrPt crystal.

- SG = P4/mmm (123)

The structure in CIF format:
```
data_Ta2FeIrPt
_chemical_formula_sum 'Ta2 Fe1 Ir1 Pt1'
_cell_length_a 4.484
_cell_length_b 4.422
_cell_length_c 4.484
_cell_angle_alpha 90.00
_cell_angle_beta 90.00
_cell_angle_gamma 90.00
_space_group_name_H-M_alt 'P 1'
_space_group_IT_number 1
loop_
_space_group_symop_operation_xyz
'x,y,z'
loop_
_atom_site_label
_atom_site_fract_x
_atom_site_fract_y
_atom_site_fract_z
Ir1 0.000 0.500 0.000
Fe1 0.000 0.000 0.000
Pt1 0.500 0.500 0.500
Ta1 0.000 0.000 0.500
Ta2 0.500 0.000 0.000
```

***

no.,calculated total energy (eV/atom),DOS(E_F) (states/eV/f.u.)
1,-3.243,3.872
2,-6.413,5.172
3,-4.938,6.653
4,-5.894,4.110
5,-5.031,2.336
6,-4.899,2.564
7,-6.877,2.437
8,-7.286,3.934
9,-4.970,3.220
10,-5.051,2.929
11,-4.650,4.137
12,-8.748,5.033